Entry 1:
A plane-wave DFT calculation with PBE with a Hubbard U was carried out for an optimized crystal structure of LiMnIrF6.

Cell and atoms, written as CIF:
```
data_LiMnIrF6
_symmetry_space_group_name_H-M 'P -3 1 c'
_symmetry_Int_Tables_number 163
_symmetry_space_group_name_Hall '-P 3 2c'
_cell_length_a 5.4144
_cell_length_b 5.4144
_cell_length_c 8.9249
_cell_angle_alpha 90.00
_cell_angle_beta 90.00
_cell_angle_gamma 120.00
loop_
_atom_site_label
_atom_site_type_symbol
_atom_site_fract_x
_atom_site_fract_y
_atom_site_fract_z
Li1 Li 0.0000 0.0000 0.0000
Mn1 Mn 0.3333 0.6667 0.2500
Ir1 Ir 0.3333 0.6667 0.7500
F1 F 0.0153 0.3456 0.6283
```

---

Entry 2:
A plane-wave DFT calculation with PBE with a Hubbard U was carried out for an optimized crystal structure of LiMoIrF2.

Cell and atoms, written as CIF:
```
data_LiMoIrF2
_symmetry_space_group_name_H-M 'P 4/m m m'
_symmetry_Int_Tables_number 123
_symmetry_space_group_name_Hall '-P 4 2'
_cell_length_a 4.246
_cell_length_b 4.246
_cell_length_c 4.815
_cell_angle_alpha 90.00
_cell_angle_beta 90.00
_cell_angle_gamma 90.00
loop_
_atom_site_label
_atom_site_type_symbol
_atom_site_fract_x
_atom_site_fract_y
_atom_site_fract_z
Li1 Li 0.000 0.000 0.000
Mo1 Mo 0.500 0.500 0.000
Ir1 Ir 0.000 0.000 0.500
F1 F 0.000 0.500 0.500
```

---

DFT total energy: -5.38; -4.21 (eV/atom)
N(E_F): 0.00; 2.13 (states/eV/f.u.)
Spin magnetization: 4.84; 5.56 (μB per formula unit)